1.
Entry from Alexandria: SrLaFe2 after structural relaxation (PBE-GGA).

Results
Formation energy = 430 meV per atom
DOS at the Fermi energy = 5.81 states/eV per cell
Electronic total energy = -5.45 eV/atom
Magnetic moment = 4.27 μB per formula unit

a b c (Å): 3.804 3.804 7.118
angles (deg): 90.00 90.00 90.00
Positions (direct):
Sr (0.000, 0.000, 0.000)
La (0.000, 0.000, 0.500)
Fe (0.500, 0.500, 0.330)
Fe (0.500, 0.500, 0.670)

=====

2.
Entry from Alexandria: Tb3Pu after structural relaxation (PBE-GGA).

Results
Formation energy = 139 meV per atom
DOS at the Fermi energy = 15.71 states/eV per cell
Electronic total energy = -6.92 eV/atom
Magnetic moment = 6.21 μB per formula unit

a b c (Å): 4.976 4.976 4.976
angles (deg): 90.00 90.00 90.00
Positions (direct):
Tb (0.000, 0.000, 0.500)
Tb (0.000, 0.500, 0.000)
Tb (0.500, 0.000, 0.000)
Pu (0.500, 0.500, 0.500)

=====

3.
Entry from Alexandria: AcTbNdTh after structural relaxation (PBE-GGA).

Results
Formation energy = 177 meV per atom
DOS at the Fermi energy = 29.90 states/eV per cell
Electronic total energy = -5.05 eV/atom
Magnetic moment = 0.00 μB per formula unit

a b c (Å): 8.298 8.298 8.298
angles (deg): 90.00 90.00 90.00
Positions (direct):
Ac (0.000, 0.000, 0.000)
Ac (0.000, 0.500, 0.500)
Ac (0.500, 0.000, 0.500)
Ac (0.500, 0.500, 0.000)
Tb (0.250, 0.250, 0.750)
Tb (0.250, 0.750, 0.250)
Tb (0.750, 0.250, 0.250)
Tb (0.750, 0.750, 0.750)
Nd (0.250, 0.250, 0.250)
Nd (0.250, 0.750, 0.750)
Nd (0.750, 0.250, 0.750)
Nd (0.750, 0.750, 0.250)
Th (0.000, 0.000, 0.500)
Th (0.000, 0.500, 0.000)
Th (0.500, 0.000, 0.000)
Th (0.500, 0.500, 0.500)

=====

4.
Entry from Alexandria: ZrTi2ZnCd after structural relaxation (PBE-GGA).

Results
Formation energy = 1230 meV per atom
DOS at the Fermi energy = 3.03 states/eV per cell
Electronic total energy = -4.07 eV/atom
Magnetic moment = 0.00 μB per formula unit

a b c (Å): 4.937 4.937 5.235
angles (deg): 90.00 90.00 90.00
Positions (direct):
Zr (0.000, 0.000, 0.000)
Ti (0.000, 0.500, 0.500)
Ti (0.500, 0.000, 0.500)
Zn (0.500, 0.500, 0.000)
Cd (0.000, 0.000, 0.500)